No. 1
DFT (GGA-PBE) results for crystalline Cs3AsPb4 at its relaxed geometry.

Structure (CIF):
```
data_Cs3AsPb4
_chemical_formula_sum 'Cs6 As2 Pb8'
_symmetry_space_group_name_H-M 'P 1'
_symmetry_Int_Tables_number 1
_cell_length_a 7.2388
_cell_length_b 14.3069
_cell_length_c 6.8419
_cell_angle_alpha 90.00
_cell_angle_beta 90.00
_cell_angle_gamma 90.00
loop_
_symmetry_equiv_pos_as_xyz
'x,y,z'
loop_
_atom_site_label
_atom_site_fract_x
_atom_site_fract_y
_atom_site_fract_z
Cs1 0.2500 0.0046 0.1842
Cs2 0.2500 0.4954 0.1842
Cs3 0.2500 0.7500 0.5475
Cs4 0.7500 0.2500 0.4525
Cs5 0.7500 0.5046 0.8158
Cs6 0.7500 0.9954 0.8158
As1 0.2500 0.2500 0.3368
As2 0.7500 0.7500 0.6632
Pb1 0.0124 0.2500 0.9643
Pb2 0.2500 0.1234 0.6751
Pb3 0.2500 0.3766 0.6751
Pb4 0.4876 0.2500 0.9643
Pb5 0.5124 0.7500 0.0357
Pb6 0.7500 0.6234 0.3249
Pb7 0.7500 0.8766 0.3249
Pb8 0.9876 0.7500 0.0357
```

Values from the calculation:
formation enthalpy at 0 K = -215 meV/atom
total magnetization = 0.000 μB per cell

=====

No. 2
DFT (GGA-PBE) results for crystalline PdC2O at its relaxed geometry.

Structure (CIF):
```
data_PdC2O
_chemical_formula_sum 'Pd2 C4 O2'
_symmetry_space_group_name_H-M 'P 1'
_symmetry_Int_Tables_number 1
_cell_length_a 5.1498
_cell_length_b 5.1498
_cell_length_c 5.1498
_cell_angle_alpha 126.44
_cell_angle_beta 126.44
_cell_angle_gamma 79.16
loop_
_symmetry_equiv_pos_as_xyz
'x,y,z'
loop_
_atom_site_label
_atom_site_fract_x
_atom_site_fract_y
_atom_site_fract_z
Pd1 0.0000 0.0000 0.0000
Pd2 0.7500 0.2500 0.5000
C1 0.1647 0.6250 0.0397
C2 0.3750 0.4147 0.5397
C3 0.5853 0.1250 0.9603
C4 0.8750 0.8353 0.4603
O1 0.2500 0.7500 0.5000
O2 0.5000 0.5000 0.0000
```

Values from the calculation:
formation energy from raw total energies = 1.672 eV per atom
total magnetization = 0.000 μB per cell

=====

No. 3
DFT (GGA-PBE) results for crystalline HoTiGa2 at its relaxed geometry.

Structure (CIF):
```
data_HoTiGa2
_chemical_formula_sum 'Ho1 Ti1 Ga2'
_symmetry_space_group_name_H-M 'P 1'
_symmetry_Int_Tables_number 1
_cell_length_a 4.7741
_cell_length_b 4.7741
_cell_length_c 4.7741
_cell_angle_alpha 60.00
_cell_angle_beta 60.00
_cell_angle_gamma 60.00
loop_
_symmetry_equiv_pos_as_xyz
'x,y,z'
loop_
_atom_site_label
_atom_site_fract_x
_atom_site_fract_y
_atom_site_fract_z
Ho1 0.0000 0.0000 0.0000
Ti1 0.5000 0.5000 0.5000
Ga1 0.2500 0.2500 0.2500
Ga2 0.7500 0.7500 0.7500
```

Values from the calculation:
formation enthalpy at 0 K = -368 meV/atom
ΔE to the lowest computed polymorph = 1.473 kcal/mol of atoms
total magnetization = 0.987 μB per cell